Entry 1:
ZrPtN2 | PBE | relaxed

Unit cell a=6.4268 b=6.4268 c=6.4268 alpha=29.73 beta=29.73 gamma=29.73
Last column: nearest neighbours and their distance in Å.
Fractional positions:
Zr: 0.5000 0.5000 0.5000  6 N 2.20
Pt: 0.0000 0.0000 0.0000  2 N 1.96
N: 0.8935 0.8935 0.8935  1 Pt 1.96
N: 0.1065 0.1065 0.1065  1 Pt 1.96

- symmetry = R-3m
- final energy (eV/cell) = -32.804
- formation energy without anion corrections (meV/atom) = -391

Entry 2:
YNb2SN | PBE | relaxed

Unit cell a=5.1088 b=4.8126 c=5.1088 alpha=90.00 beta=90.00 gamma=90.00
Last column: nearest neighbours and their distance in Å.
Fractional positions:
Y: 0.0000 0.0000 0.0000  2 S 2.41, 4 Nb 2.55
Nb: 0.0000 0.0000 0.5000  2 Y 2.55
Nb: 0.5000 0.0000 0.0000  2 Y 2.55
S: 0.0000 0.5000 0.0000  2 Y 2.41
N: 0.5000 0.5000 0.5000  8 Nb 3.51, 4 S 3.61

- symmetry = P4/mmm
- final energy (eV/cell) = -25.913
- formation energy without anion corrections (meV/atom) = 2629

Entry 3:
YHoZrSc | PBE | relaxed

Unit cell a=4.7696 b=4.7663 c=5.8417 alpha=114.08 beta=114.09 gamma=90.00
Last column: nearest neighbours and their distance in Å.
Fractional positions:
Y: 0.1198 0.1198 0.2396  4 Zr 3.37, 4 Sc 3.37, 4 Ho 3.37
Ho: 0.3699 0.8699 0.7398  4 Zr 3.37, 4 Sc 3.37, 4 Y 3.37
Zr: 0.8694 0.3694 0.7389  4 Sc 3.37-3.38, 4 Y 3.37, 4 Ho 3.37
Sc: 0.6200 0.6200 0.2400  4 Zr 3.37-3.38, 4 Y 3.37, 4 Ho 3.37

- symmetry = I-4m2
- ΔH_f (0 K) (kJ/mol of atoms) = 8
- final energy (eV/cell) = -25.580

Entry 4:
Pr2SmHoH | PBE | relaxed

Unit cell a=5.0639 b=5.1683 c=5.1683 alpha=90.00 beta=90.00 gamma=90.00
Last column: nearest neighbours and their distance in Å.
Fractional positions:
Pr: 0.0000 0.0000 0.5000  2 H 2.58
Pr: 0.0000 0.5000 0.0000  2 H 2.58
Sm: 0.5000 0.5000 0.5000  8 Pr 3.62, 4 Ho 3.65
Ho: 0.5000 0.0000 0.0000  2 H 2.53
H: 0.0000 0.0000 0.0000  2 Ho 2.53, 4 Pr 2.58

- symmetry = P4/mmm
- final energy (eV/cell) = -23.048

Entry 5:
RbTeH2Os | PBE | relaxed

Unit cell a=3.9098 b=7.1141 c=3.9098 alpha=90.00 beta=90.00 gamma=90.00
Last column: nearest neighbours and their distance in Å.
Fractional positions:
H: 0.0000 0.0000 0.5000  2 Rb 1.95
H: 0.5000 0.0000 0.0000  2 Rb 1.95
Te: 0.5000 0.5000 0.5000  4 Os 2.76
Os: 0.0000 0.5000 0.0000  4 Te 2.76
Rb: 0.0000 0.0000 0.0000  4 H 1.95

- symmetry = P4/mmm
- final energy (eV/cell) = -14.313

Entry 6:
InAg5Pd8 | PBE | relaxed

Unit cell a=6.8500 b=6.8500 c=6.8500 alpha=109.73 beta=108.95 gamma=109.73
Last column: nearest neighbours and their distance in Å.
Fractional positions:
In: 0.2500 0.5000 0.7500  4 Pd 2.62
Ag: 0.0219 0.3091 0.1079  8 Pd 2.67-2.95, 2 Ag 2.90
Ag: 0.8921 0.9141 0.2013  8 Pd 2.67-2.95, 2 Ag 2.90
Ag: 0.7987 0.6909 0.7128  8 Pd 2.67-2.95, 2 Ag 2.90
Ag: 0.5000 0.0000 0.5000  8 Pd 2.64-2.81
Ag: 0.2872 0.0859 0.9781  8 Pd 2.67-2.95, 2 Ag 2.90
Pd: 0.1363 0.6990 0.0627  1 In 2.62, 5 Ag 2.64-2.83, 1 Pd 2.87
Pd: 0.9373 0.0736 0.6363  1 In 2.62, 5 Ag 2.64-2.83, 1 Pd 2.87
Pd: 0.7525 0.2774 0.3507  4 Pd 2.71-2.97, 5 Ag 2.81-2.95, 1 In 3.01
Pd: 0.6493 0.4017 0.9267  4 Pd 2.71-2.97, 5 Ag 2.81-2.95, 1 In 3.01
Pd: 0.5250 0.5983 0.2475  4 Pd 2.71-2.97, 5 Ag 2.81-2.95, 1 In 3.01
Pd: 0.5626 0.9264 0.8637  1 In 2.62, 5 Ag 2.64-2.83, 1 Pd 2.87
Pd: 0.3637 0.3010 0.4374  1 In 2.62, 5 Ag 2.64-2.83, 1 Pd 2.87
Pd: 0.0733 0.7226 0.4750  4 Pd 2.71-2.97, 5 Ag 2.81-2.95, 1 In 3.01

- symmetry = I-4
- ΔH_f (0 K) (kJ/mol of atoms) = 4
- final energy (eV/cell) = -57.934

Entry 7:
CaCe3In12 | PBE | relaxed

Unit cell a=4.7161 b=4.7161 c=18.8970 alpha=90.00 beta=90.00 gamma=90.00
Last column: nearest neighbours and their distance in Å.
Fractional positions:
Ca: 0.0000 0.0000 0.0000  12 In 3.33-3.34
Ce: 0.0000 0.0000 0.2501  12 In 3.33-3.34
Ce: 0.0000 0.0000 0.5000  12 In 3.33-3.34
Ce: 0.0000 0.0000 0.7499  12 In 3.33-3.34
In: 0.5000 0.5000 0.0000  4 Ca 3.33, 8 In 3.34
In: 0.5000 0.5000 0.2513  8 In 3.32-3.36, 4 Ce 3.33
In: 0.5000 0.5000 0.5000  4 Ce 3.33, 8 In 3.34
In: 0.5000 0.5000 0.7487  8 In 3.32-3.36, 4 Ce 3.33
In: 0.5000 0.0000 0.1248  8 In 3.33-3.36, 2 Ca 3.34, 2 Ce 3.34
In: 0.5000 0.0000 0.3750  8 In 3.32-3.34, 4 Ce 3.34
In: 0.5000 0.0000 0.6250  8 In 3.32-3.34, 4 Ce 3.34
In: 0.5000 0.0000 0.8752  8 In 3.33-3.36, 2 Ca 3.34, 2 Ce 3.34
In: 0.0000 0.5000 0.1248  8 In 3.33-3.36, 2 Ca 3.34, 2 Ce 3.34
In: 0.0000 0.5000 0.3750  8 In 3.32-3.34, 4 Ce 3.34
In: 0.0000 0.5000 0.6250  8 In 3.32-3.34, 4 Ce 3.34
In: 0.0000 0.5000 0.8752  8 In 3.33-3.36, 2 Ca 3.34, 2 Ce 3.34

- symmetry = P4/mmm
- ΔH_f (0 K) (kJ/mol of atoms) = -37
- final energy (eV/cell) = -58.786

Entry 8:
BaCaLa | PBE | relaxed

Unit cell a=10.2858 b=10.0241 c=3.8589 alpha=82.89 beta=75.25 gamma=21.86
Last column: nearest neighbours and their distance in Å.
Fractional positions:
Ca: 0.3265 0.3265 0.6735  2 La 3.73, 4 Ca 3.86, 2 Ba 4.06
Ba: 0.0014 0.0014 0.9986  4 Ba 3.86, 2 La 3.99, 2 Ca 4.06
La: 0.6720 0.6720 0.3280  2 Ca 3.73, 4 La 3.86, 2 Ba 3.99

- symmetry = Fmm2
- ΔH_f (0 K) (kJ/mol of atoms) = 14
- final energy (eV/cell) = -8.421

Look up the final energy of the first one. -32.804 eV/cell